Arrangement A

# GGA-PBEsol Be3Cd, optimized geometry
# M_tot = 0.0 μB per formula unit
data_Be3Cd
_chemical_formula_sum 'Be6 Cd2'
_cell_length_a 7.704
_cell_length_b 2.564
_cell_length_c 4.918
_cell_angle_alpha 90.00
_cell_angle_beta 102.49
_cell_angle_gamma 90.00
_space_group_name_H-M_alt 'C 1 2/m 1'
_space_group_IT_number 12
_space_group_name_Hall '-C 2y'
loop_
_atom_site_label
_atom_site_type_symbol
_atom_site_fract_x
_atom_site_fract_y
_atom_site_fract_z
Be1 Be 0.000 0.000 0.000
Be2 Be 0.239 0.500 0.169
Cd1 Cd 0.000 0.500 0.500

=====

Arrangement B

# GGA-PBEsol Be3Cd, optimized geometry
# M_tot = 0.0 μB per formula unit
data_Be3Cd
_chemical_formula_sum 'Be3 Cd1'
_cell_length_a 2.665
_cell_length_b 3.883
_cell_length_c 4.558
_cell_angle_alpha 90.00
_cell_angle_beta 90.99
_cell_angle_gamma 90.00
_space_group_name_H-M_alt 'P 1 2/m 1'
_space_group_IT_number 10
_space_group_name_Hall '-P 2y'
loop_
_atom_site_label
_atom_site_type_symbol
_atom_site_fract_x
_atom_site_fract_y
_atom_site_fract_z
Be1 Be 0.000 0.000 0.000
Be2 Be 0.207 0.500 0.797
Cd1 Cd 0.500 0.000 0.500

=====

Most stable pick: arrangement A. Distance to second place: 51 meV/atom.